1.
The following is a meta-GGA SCAN calculation of LiYAg at its PBEsol-relaxed geometry, from the Alexandria database.

Cell: 3.415 4.601 4.601 Å, 120.00 90.00 90.00°
Element x y z (fractional)
1 Y 0.333 0.667 0.333
2 Ag 0.833 0.000 0.000
3 Li 0.833 0.333 0.667

Values from the calculation:
D(E_F) = 0.710 states/eV/atom
Relative energy among the computed polymorphs = 32 meV per atom
SG = P-6m2
Volume = 20.87 Å³ per atom

2.
The following is a meta-GGA SCAN calculation of LiY2Ag2 at its PBEsol-relaxed geometry, from the Alexandria database.

Cell: 3.817 3.817 8.713 Å, 102.65 102.65 90.00°
Element x y z (fractional)
1 Y 0.394 0.394 0.788
2 Y 0.606 0.606 0.212
3 Ag 0.250 0.750 0.500
4 Ag 0.750 0.250 0.500
5 Li 0.000 0.000 0.000

Values from the calculation:
D(E_F) = 0.935 states/eV/atom
Relative energy among the computed polymorphs = 361 meV per atom
SG = I4/mmm
Volume = 24.14 Å³ per atom

3.
The following is a meta-GGA SCAN calculation of LiZnAg2 at its PBEsol-relaxed geometry, from the Alexandria database.

Cell: 3.126 4.366 4.366 Å, 90.04 90.00 90.00°
Element x y z (fractional)
1 Zn 0.500 0.000 0.000
2 Ag 0.000 0.000 0.500
3 Ag 0.000 0.500 0.000
4 Li 0.500 0.500 0.500

Values from the calculation:
D(E_F) = 0.239 states/eV/atom
SG = P4/mmm
Volume = 14.90 Å³ per atom

4.
The following is a meta-GGA SCAN calculation of LiZnAg2 at its PBEsol-relaxed geometry, from the Alexandria database.

Cell: 2.836 2.836 9.138 Å, 81.07 81.07 60.00°
Element x y z (fractional)
1 Ag 0.997 0.997 0.009
2 Ag 0.753 0.753 0.742
3 Li 0.501 0.501 0.496
4 Zn 0.249 0.249 0.254

Values from the calculation:
D(E_F) = 0.267 states/eV/atom
SG = R3m
Volume = 15.66 Å³ per atom

5.
The following is a meta-GGA SCAN calculation of LiZnAg2 at its PBEsol-relaxed geometry, from the Alexandria database.

Cell: 2.899 4.585 4.903 Å, 102.44 107.19 90.00°
Element x y z (fractional)
1 Zn 0.748 0.227 0.496
2 Ag 0.004 0.029 0.008
3 Ag 0.250 0.724 0.499
4 Li 0.499 0.521 0.997

Values from the calculation:
D(E_F) = 0.289 states/eV/atom
SG = Cm
Volume = 15.16 Å³ per atom

6.
The following is a meta-GGA SCAN calculation of LiZn4Ag at its PBEsol-relaxed geometry, from the Alexandria database.

Cell: 4.983 4.983 4.983 Å, 60.00 60.00 60.00°
Element x y z (fractional)
1 Zn 0.625 0.625 0.125
2 Zn 0.125 0.625 0.625
3 Zn 0.625 0.125 0.625
4 Zn 0.625 0.625 0.625
5 Ag 0.250 0.250 0.250
6 Li 0.000 0.000 0.000

Values from the calculation:
D(E_F) = 0.238 states/eV/atom
SG = F-43m
Volume = 14.58 Å³ per atom

| no. | final energy (eV per cell) |
| --- | --- |
| 1 | -62.13 |
| 2 | -120.43 |
| 3 | -79.27 |
| 4 | -78.94 |
| 5 | -79.20 |
| 6 | -88.84 |